DFT (GGA-PBEsol) results for a geometry-optimized HoGaAu structure.

```
HoGaAu
1.0
4.412 0.000 0.000
2.206 5.141 0.010
2.206 0.512 5.219
Au Ga Ho
2 2 2
Direct
0.176 0.363 0.285
0.824 0.637 0.715
0.158 0.788 0.897
0.842 0.212 0.103
0.461 0.778 0.299
0.539 0.222 0.701
```

Values from the calculation:
N(E_F): 0.40 states/eV/atom
Crystal system: monoclinic
Energy of formation from the pure elements: -842 meV/atom
Total moment: 0.0 Bohr magnetons per cell
Symmetry: C2/m, No. 12
Raw total energy: -0.181 Ha/atom

DFT (GGA-PBEsol) results for a geometry-optimized GaAuI3 structure.

```
GaAuI3
1.0
-4.448 2.167 2.560
-3.279 -1.918 -4.075
-0.703 -4.760 2.807
Au I Ga
1 3 1
Direct
0.000 0.000 0.000
0.500 0.000 0.000
0.000 0.500 0.000
0.000 0.000 0.500
0.500 0.500 0.500
```

Values from the calculation:
N(E_F): 0.29 states/eV/atom
Crystal system: cubic
Formation energy from raw total energies: 0.0016 eV/atom
Total moment: 0.0 Bohr magnetons per cell
Symmetry: Pm-3m, No. 221
Raw total energy: -0.092 Ha/atom

DFT (GGA-PBEsol) results for a geometry-optimized InGaAuI2 structure.

```
InGaAuI2
1.0
4.823 0.000 0.000
0.000 5.813 0.000
0.000 0.000 5.813
In I Ga Au
1 2 1 1
Direct
0.500 0.500 0.500
0.000 0.500 0.000
0.000 0.000 0.500
0.000 0.000 0.000
0.500 0.000 0.000
```

Values from the calculation:
N(E_F): 0.28 states/eV/atom
Crystal system: tetragonal
Formation energy from raw total energies: -0.0455 eV/atom
Total moment: 0.0 Bohr magnetons per cell
Symmetry: P4/mmm, No. 123
Raw total energy: -0.103 Ha/atom

DFT (GGA-PBEsol) results for a geometry-optimized GaPtAu2I structure.

```
GaPtAu2I
1.0
4.948 0.000 0.000
0.000 5.262 0.000
0.000 0.000 5.262
Pt I Au Ga
1 1 2 1
Direct
0.500 0.000 0.000
0.000 0.000 0.000
0.000 0.500 0.000
0.000 0.000 0.500
0.500 0.500 0.500
```

Values from the calculation:
N(E_F): 0.63 states/eV/atom
Crystal system: tetragonal
Formation energy from raw total energies: 1.0166 eV/atom
Total moment: 0.0 Bohr magnetons per cell
Symmetry: P4/mmm, No. 123
Raw total energy: -0.109 Ha/atom

DFT (GGA-PBEsol) results for a geometry-optimized GaRhAu2I structure.

```
GaRhAu2I
1.0
-1.147 -0.061 -4.480
-0.795 -4.977 0.272
-4.824 0.837 1.224
Au I Rh Ga
2 1 1 1
Direct
0.000 0.500 0.000
0.000 0.000 0.500
0.500 0.500 0.500
0.000 0.000 0.000
0.500 0.000 0.000
```

Values from the calculation:
N(E_F): 0.83 states/eV/atom
Crystal system: tetragonal
Formation energy from raw total energies: 0.5495 eV/atom
Total moment: 0.0 Bohr magnetons per cell
Symmetry: P4/mmm, No. 123
Raw total energy: -0.135 Ha/atom

DFT (GGA-PBEsol) results for a geometry-optimized TlGaAu2I structure.

```
TlGaAu2I
1.0
5.170 0.000 0.000
0.000 5.170 0.000
0.000 0.000 6.390
I Au Ga Tl
1 2 1 1
Direct
0.000 0.000 0.500
0.000 0.500 0.000
0.500 0.000 0.000
0.500 0.500 0.500
0.000 0.000 0.000
```

Values from the calculation:
N(E_F): 0.21 states/eV/atom
Crystal system: tetragonal
Formation energy from raw total energies: 0.4860 eV/atom
Total moment: 0.0 Bohr magnetons per cell
Symmetry: P4/mmm, No. 123
Raw total energy: -0.097 Ha/atom

DFT (GGA-PBEsol) results for a geometry-optimized InGa2Au2 structure.

```
InGa2Au2
1.0
4.456 0.000 0.000
0.000 4.456 0.000
-2.228 -2.228 5.054
Ga Au In
2 2 1
Direct
0.379 0.379 0.758
0.621 0.621 0.242
0.750 0.250 0.500
0.250 0.750 0.500
0.000 0.000 0.000
```

Values from the calculation:
N(E_F): 0.40 states/eV/atom
Crystal system: tetragonal
Energy of formation from the pure elements: -86 meV/atom
Total moment: 0.0 Bohr magnetons per cell
Symmetry: I4/mmm, No. 139
Energy above the most stable polymorph in this dataset: 175 meV per atom
Raw total energy: -0.132 Ha/atom

DFT (GGA-PBEsol) results for a geometry-optimized InGa2Au2 structure.

```
InGa2Au2
1.0
3.905 0.000 0.000
0.000 3.905 0.000
-1.953 -1.953 6.257
Ga Au In
2 2 1
Direct
0.750 0.250 0.500
0.250 0.750 0.500
0.391 0.391 0.782
0.609 0.609 0.218
0.000 0.000 0.000
```

Values from the calculation:
N(E_F): 0.39 states/eV/atom
Crystal system: tetragonal
Energy of formation from the pure elements: -159 meV/atom
Total moment: 0.0 Bohr magnetons per cell
Symmetry: I4/mmm, No. 139
Energy above the most stable polymorph in this dataset: 102 meV per atom
Raw total energy: -0.135 Ha/atom

DFT (GGA-PBEsol) results for a geometry-optimized InGa3Au structure.

```
InGa3Au
1.0
4.940 0.000 0.000
0.000 4.940 0.000
0.000 0.000 4.940
In Ga Au
1 3 1
Direct
0.500 0.500 0.500
0.000 0.000 0.500
0.500 0.000 0.000
0.000 0.500 0.000
0.000 0.000 0.000
```

Values from the calculation:
N(E_F): 0.64 states/eV/atom
Crystal system: cubic
Energy of formation from the pure elements: 191 meV/atom
Total moment: 0.0 Bohr magnetons per cell
Symmetry: Pm-3m, No. 221
Raw total energy: -0.117 Ha/atom

DFT (GGA-PBEsol) results for a geometry-optimized InGa2Au2 structure.

```
InGa2Au2
1.0
4.195 0.000 0.000
-2.098 3.633 0.000
0.000 0.000 12.965
Au Ga In
4 4 2
Direct
0.333 0.667 0.362
0.667 0.333 0.638
0.333 0.667 0.138
0.667 0.333 0.862
0.667 0.333 0.436
0.333 0.667 0.936
0.333 0.667 0.564
0.667 0.333 0.064
0.000 0.000 0.750
0.000 0.000 0.250
```

Values from the calculation:
N(E_F): 0.36 states/eV/atom
Crystal system: hexagonal
Energy of formation from the pure elements: -261 meV/atom
Total moment: 0.0 Bohr magnetons per cell
Symmetry: P6_3/mmc, No. 194
Energy above the most stable polymorph in this dataset: 0 meV per atom
Raw total energy: -0.138 Ha/atom

DFT (GGA-PBEsol) results for a geometry-optimized In3GaAu structure.

```
In3GaAu
1.0
-1.494 -3.865 3.200
-0.645 -3.164 -4.122
4.976 -1.571 0.426
Ga In Au
1 3 1
Direct
0.500 0.500 0.500
0.000 0.000 0.500
0.500 0.000 0.000
0.000 0.500 0.000
0.000 0.000 0.000
```

Values from the calculation:
N(E_F): 0.63 states/eV/atom
Crystal system: cubic
Energy of formation from the pure elements: 262 meV/atom
Total moment: 0.0 Bohr magnetons per cell
Symmetry: Pm-3m, No. 221
Raw total energy: -0.110 Ha/atom

DFT (GGA-PBEsol) results for a geometry-optimized In2GaAu2 structure.

```
In2GaAu2
1.0
4.281 0.000 0.000
0.000 4.281 0.000
-2.140 -2.140 6.167
Ga Au In
1 2 2
Direct
0.000 0.000 0.000
0.606 0.606 0.213
0.394 0.394 0.787
0.750 0.250 0.500
0.250 0.750 0.500
```

Values from the calculation:
N(E_F): 0.38 states/eV/atom
Crystal system: tetragonal
Energy of formation from the pure elements: 42 meV/atom
Total moment: 0.0 Bohr magnetons per cell
Symmetry: I4/mmm, No. 139
Raw total energy: -0.125 Ha/atom